## one
Below is a relaxed NaSrTe3 crystal, with properties calculated at the GGA-PBE level.

Values from the calculation:
For the total magnetization, the calculation gives 0.000 μB/f.u. As for the space group: Pm-3m, No. 221. The density of states at the Fermi level is 1.5752 states/eV per atom.

Cell lengths 6.1770, 6.1770, 6.1770 Å; angles 90.00, 90.00, 90.00 degrees
Fractional coordinates of all 5 atoms:
Te  0.5000  0.0000  0.0000
Te  0.0000  0.0000  0.5000
Te  0.0000  0.5000  0.0000
Sr  0.0000  0.0000  0.0000
Na  0.5000  0.5000  0.5000

=====

## two
Below is a relaxed NaSrTe3 crystal, with properties calculated at the GGA-PBE level.

Values from the calculation:
For the total magnetization, the calculation gives 0.004 μB/f.u. As for the space group: Pm-3m, No. 221. The density of states at the Fermi level is 1.4817 states/eV per atom.

Cell lengths 5.5820, 5.5820, 5.5820 Å; angles 90.00, 90.00, 90.00 degrees
Fractional coordinates of all 5 atoms:
Te  0.5000  0.0000  0.0000
Te  0.0000  0.5000  0.0000
Te  0.0000  0.0000  0.5000
Sr  0.5000  0.5000  0.5000
Na  0.0000  0.0000  0.0000

=====

Relative energies, meV per atom: one 82; two 0.

=====

## one
Below is a relaxed Na3SrTe crystal, with properties calculated at the GGA-PBE level.

Values from the calculation:
For the total magnetization, the calculation gives 0.861 μB/f.u. As for the space group: Pm-3m, No. 221. The density of states at the Fermi level is 1.2159 states/eV per atom.

Cell lengths 6.3948, 6.3948, 6.3948 Å; angles 90.00, 90.00, 90.00 degrees
Site moments in Bohr magnetons follow the coordinates.
Fractional coordinates of all 5 atoms:
Na  0.5000  0.0000  0.0000  0.03
Na  0.0000  0.0000  0.5000  0.04
Na  0.0000  0.5000  0.0000  0.04
Sr  0.0000  0.0000  0.0000  0.14
Te  0.5000  0.5000  0.5000  -0.02

=====

## two
Below is a relaxed Na3SrTe crystal, with properties calculated at the GGA-PBE level.

Values from the calculation:
For the total magnetization, the calculation gives 0.004 μB/f.u. As for the space group: Pm-3m, No. 221. The density of states at the Fermi level is 1.0403 states/eV per atom.

Cell lengths 6.0710, 6.0710, 6.0710 Å; angles 90.00, 90.00, 90.00 degrees
Fractional coordinates of all 5 atoms:
Na  0.0000  0.5000  0.0000
Na  0.0000  0.0000  0.5000
Na  0.5000  0.0000  0.0000
Sr  0.5000  0.5000  0.5000
Te  0.0000  0.0000  0.0000

=====

Relative energies, meV per atom: one 834; two 0.